This record from Alexandria describes a geometry-optimized CaSm4Tm4O12 structure. The functional is PBE.

## Properties
The formation energy without anion corrections comes out at -3.219 eV/atom. As for the magnetic moment: 0.0 μB/cell. The value obtained for the raw total energy is -7.899 eV per atom. Its space group is P1.

a = 5.8757 Å, b = 6.1241 Å, c = 9.3225 Å
α = 86.05°, β = 78.99°, γ = 83.68°
With the nearest neighbours (Å) after each atom.
Fractional positions:
Ca 0.0000 0.0000 0.0000  4 O 2.27-2.43
Sm 0.0430 0.8331 0.3392  5 O 2.27-2.45
Sm 0.0912 0.5683 0.8398  6 O 2.29-2.53
Sm 0.5191 0.1691 0.8360  5 O 2.30-2.49
Sm 0.5926 0.2969 0.4106  6 O 2.28-2.53
Tm 0.0885 0.1494 0.6274  5 O 2.18-2.41
Tm 0.1818 0.3320 0.1774  6 O 2.22-2.43
Tm 0.5731 0.6996 0.0802  5 O 2.12-2.29
Tm 0.6349 0.6929 0.6527  4 O 2.17-2.26
O 0.2544 0.1236 0.3988  2 Tm 2.18-2.43, 2 Sm 2.38-2.43
O 0.2924 0.8865 0.7405  2 Tm 2.23-2.26, 1 Sm 2.43
O 0.3518 0.0058 0.0804  2 Tm 2.16-2.30, 1 Ca 2.33
O 0.3658 0.5606 0.2790  2 Tm 2.19-2.22, 2 Sm 2.39-2.40
O 0.3714 0.3974 0.6454  3 Sm 2.40-2.42, 2 Tm 2.41-2.52
O 0.4190 0.4709 0.9774  2 Tm 2.12-2.28, 1 Sm 2.30
O 0.7602 0.8352 0.8593  2 Tm 2.29-2.43, 2 Sm 2.38-2.39, 1 Ca 2.43
O 0.7986 0.9993 0.5553  2 Tm 2.25-2.26, 1 Sm 2.45
O 0.8031 0.5757 0.4400  1 Tm 2.17, 2 Sm 2.27-2.28
O 0.8357 0.4043 0.7343  2 Tm 2.19, 1 Sm 2.29
O 0.8685 0.1354 0.2245  1 Tm 2.27, 1 Ca 2.27, 2 Sm 2.31-2.33
O 0.9503 0.6447 0.1070  2 Tm 2.26-2.35, 1 Ca 2.35, 1 Sm 2.53